Arrangement P

Density functional theory data (PBE) for a relaxed structure of Pb3SO6.

It has space group P-1 (No. 2), with a = 5.918 Å, b = 7.473 Å, c = 8.318 Å, α = 104.08°, β = 91.63° and γ = 91.90°. The inequivalent atoms are Pb at (0.225, 0.269, 0.157), Pb at (0.254, 0.424, 0.622), Pb at (0.260, 0.888, 0.585), S at (0.275, 0.797, 0.144), O at (0.010, 0.673, 0.621), O at (0.107, 0.949, 0.180), O at (0.223, 0.671, 0.980), O at (0.255, 0.690, 0.277), O at (0.492, 0.319, 0.379) and O at (0.493, 0.117, 0.847).

As for the total magnetization: 0.00 Bohr magnetons per cell.



Arrangement Q

Density functional theory data (PBE) for a relaxed structure of Pb3SO6.

It has space group Cmcm (No. 63), with a = 10.442 Å, b = 12.261 Å, c = 6.009 Å, α = 90.00°, β = 90.00° and γ = 90.00°. The inequivalent atoms are Pb at (0.000, 0.102, 0.250), Pb at (0.236, 0.407, 0.250), S at (0.000, 0.355, 0.750), O at (0.000, 0.287, 0.546), O at (0.118, 0.425, 0.750) and O at (0.142, 0.000, 0.000).

As for the total magnetization: 0.00 Bohr magnetons per cell.



Most stable structure, least stable structure: arrangement P, arrangement Q.



Arrangement P

Density functional theory data (PBE) for a relaxed structure of SbPbO2.

It has space group I-42d (No. 122), with a = 5.594 Å, b = 5.594 Å, c = 10.845 Å, α = 90.00°, β = 90.00° and γ = 90.00°. The inequivalent atoms are Sb at (0.000, 0.000, 0.000), Pb at (0.000, 0.000, 0.500) and O at (0.196, 0.250, 0.125).

As for the total magnetization: 0.00 Bohr magnetons per cell.



Arrangement Q

Density functional theory data (PBE) for a relaxed structure of SbPbO2.

It has space group Fm-3m (No. 225), with a = 6.340 Å, b = 6.340 Å, c = 6.340 Å, α = 90.00°, β = 90.00° and γ = 90.00°. The inequivalent atoms are Sb at (0.000, 0.000, 0.000), Pb at (0.000, 0.000, 0.500) and O at (0.250, 0.250, 0.250).

As for the total magnetization: 0.00 Bohr magnetons per cell.



Arrangement R

Density functional theory data (PBE) for a relaxed structure of SbPbO2.

It has space group R-3m (No. 166, hexagonal axes), with a = 3.4531 Å, b = 3.4531 Å, c = 21.7897 Å, α = 90.00°, β = 90.00° and γ = 120.00°. The inequivalent atoms are Sb at (0.0000, 0.0000, 0.0000), Pb at (0.0000, 0.0000, 0.5000) and O at (0.0000, 0.0000, 0.3877).

As for the total magnetization: 0.00 Bohr magnetons per cell.



Arrangement S

Density functional theory data (PBE) for a relaxed structure of SbPbO2.

It has space group P2_1/m (No. 11), with a = 3.752 Å, b = 6.315 Å, c = 7.464 Å, α = 90.00°, β = 103.92° and γ = 90.00°. The inequivalent atoms are Sb at (0.077, 0.250, 0.138), Pb at (0.310, 0.250, 0.625) and O at (0.170, 0.029, 0.332).

As for the total magnetization: 0.00 Bohr magnetons per cell.



Most stable structure, least stable structure: arrangement S, arrangement Q.



Arrangement P

Density functional theory data (PBE) for a relaxed structure of Sb2PbO.

It has space group Fm-3m (No. 225), with a = 7.129 Å, b = 7.129 Å, c = 7.129 Å, α = 90.00°, β = 90.00° and γ = 90.00°. The inequivalent atoms are Sb at (0.250, 0.250, 0.250), Pb at (0.000, 0.000, 0.000) and O at (0.000, 0.000, 0.500).

As for the total magnetization: 0.00 Bohr magnetons per cell.



Arrangement Q

Density functional theory data (PBE) for a relaxed structure of Sb2PbO.

It has space group I-42d (No. 122), with a = 5.739 Å, b = 5.739 Å, c = 13.611 Å, α = 90.00°, β = 90.00° and γ = 90.00°. The inequivalent atoms are Sb at (0.112, 0.250, 0.125), Pb at (0.000, 0.000, 0.500) and O at (0.000, 0.000, 0.000).

As for the total magnetization: 0.00 Bohr magnetons per cell.



Most stable structure, least stable structure: arrangement Q, arrangement P.



Arrangement P

Density functional theory data (PBE) for a relaxed structure of ScSbPb2O6.

It has space group Imm2 (No. 44), with a = 5.791 Å, b = 8.202 Å, c = 5.898 Å, α = 90.00°, β = 90.00° and γ = 90.00°. The inequivalent atoms are Sc at (0.000, 0.000, 0.000), Sb at (0.000, 0.500, 0.982), Pb at (0.000, 0.241, 0.539), O at (0.000, 0.255, 0.959), O at (0.236, 0.500, 0.727) and O at (0.242, 0.000, 0.705).

As for the total magnetization: 0.00 Bohr magnetons per cell.



Arrangement Q

Density functional theory data (PBE) for a relaxed structure of ScSbPb2O6.

It has space group Pmmn (No. 59, origin choice 2), with a = 5.786 Å, b = 8.195 Å, c = 5.840 Å, α = 90.00°, β = 90.00° and γ = 90.00°. The inequivalent atoms are Sc at (0.250, 0.250, 0.235), Sb at (0.250, 0.750, 0.247), Pb at (0.250, 0.013, 0.717), O at (0.001, 0.250, 0.512), O at (0.003, 0.750, 0.011) and O at (0.250, 0.506, 0.273).

As for the total magnetization: 0.00 Bohr magnetons per cell.



Most stable structure, least stable structure: arrangement P, arrangement Q.